# 1
{
  "formula": "RbCa2NbRe",
  "functional": "SCAN",
  "state": "single point on PBEsol structure",
  "lattice": [[5.472, 0.000, 0.000], [0.000, 5.472, 0.000], [0.000, 0.000, 5.681]],
  "species": ["Rb", "Ca", "Ca", "Nb", "Re"],
  "frac_coords": [[0.000, 0.000, 0.000], [0.000, 0.500, 0.500], [0.500, 0.000, 0.500], [0.500, 0.500, 0.000], [0.000, 0.000, 0.500]],
  "e_form_ev_per_atom": 1.826
}

***

# 2
{
  "formula": "Rb2CaNbS",
  "functional": "SCAN",
  "state": "single point on PBEsol structure",
  "lattice": [[6.471, 0.000, 0.000], [0.000, 6.471, 0.000], [0.000, 0.000, 4.771]],
  "species": ["Rb", "Rb", "Ca", "Nb", "S"],
  "frac_coords": [[0.000, 0.500, 0.000], [0.500, 0.000, 0.000], [0.000, 0.000, 0.500], [0.500, 0.500, 0.500], [0.500, 0.500, 0.000]],
  "formation_energy_uncorrected_ev_per_atom": 0.100
}

***

| no. | density of states at the Fermi level (states/eV per cell) |
| --- | --- |
| 1 | 6.7 |
| 2 | 3.0 |